1.
# KCo2Tc PBE relaxed
# Spin magnetization, Bohr magnetons per cell: 8.28
# Distance to the lowest polymorph of the same formula, meV per atom: 457
# Formation energy, meV per atom: 1145
data_KCo2Tc
_chemical_formula_sum 'K2 Co4 Tc2'
_cell_length_a 7.0900
_cell_length_b 7.1021
_cell_length_c 2.5600
_cell_angle_alpha 90.00
_cell_angle_beta 90.00
_cell_angle_gamma 90.00
_space_group_name_H-M_alt 'C m m m'
_space_group_IT_number 65
_space_group_name_Hall '-C 2 2'
loop_
_atom_site_label
_atom_site_type_symbol
_atom_site_fract_x
_atom_site_fract_y
_atom_site_fract_z
K1 K 0.0000 0.0000 0.0000
Co1 Co 0.2500 0.2500 0.5000
Tc1 Tc 0.0000 0.5000 0.0000

---

2.
# YVCu4 PBE relaxed
# Spin magnetization, Bohr magnetons per cell: 15.90
# Formation energy, meV per atom: 27
data_YVCu4
_chemical_formula_sum 'Y4 V4 Cu16'
_cell_length_a 7.1705
_cell_length_b 7.1705
_cell_length_c 7.1705
_cell_angle_alpha 90.00
_cell_angle_beta 90.00
_cell_angle_gamma 90.00
_space_group_name_H-M_alt 'F -4 3 m'
_space_group_IT_number 216
_space_group_name_Hall 'F -4 2 3'
loop_
_atom_site_label
_atom_site_type_symbol
_atom_site_fract_x
_atom_site_fract_y
_atom_site_fract_z
Y1 Y 0.0000 0.0000 0.0000
V1 V 0.2500 0.2500 0.2500
Cu1 Cu 0.1240 0.1240 0.6240

---

3.
# GaSCl3 PBE relaxed
# Energy relative to the elements, uncorrected, meV per atom: -605
# Spin magnetization, Bohr magnetons per cell: 1.57
# Distance to the lowest polymorph of the same formula, meV per atom: 0
data_GaSCl3
_chemical_formula_sum 'Ga4 S4 Cl12'
_cell_length_a 6.8475
_cell_length_b 10.3219
_cell_length_c 10.4294
_cell_angle_alpha 101.09
_cell_angle_beta 104.02
_cell_angle_gamma 93.53
_space_group_name_H-M_alt 'P -1'
_space_group_IT_number 2
_space_group_name_Hall '-P 1'
loop_
_atom_site_label
_atom_site_type_symbol
_atom_site_fract_x
_atom_site_fract_y
_atom_site_fract_z
Ga1 Ga 0.0661 0.1604 0.4947
Ga2 Ga 0.1675 0.2070 0.2971
S1 S 0.3612 0.0026 0.9848
S2 S 0.4949 0.4642 0.0859
Cl1 Cl 0.0518 0.2980 0.6787
Cl2 Cl 0.0601 0.7132 0.8489
Cl3 Cl 0.1844 0.9936 0.1825
Cl4 Cl 0.2422 0.9861 0.5756
Cl5 Cl 0.3261 0.5949 0.1589
Cl6 Cl 0.4667 0.3183 0.3288

---

4.
# Ca3YW PBE relaxed
# Spin magnetization, Bohr magnetons per cell: 2.06
# Distance to the lowest polymorph of the same formula, meV per atom: 0
# Formation energy, meV per atom: 1011
data_Ca3YW
_chemical_formula_sum 'Ca3 Y1 W1'
_cell_length_a 5.6483
_cell_length_b 5.6483
_cell_length_c 5.6483
_cell_angle_alpha 90.00
_cell_angle_beta 90.00
_cell_angle_gamma 90.00
_space_group_name_H-M_alt 'P m -3 m'
_space_group_IT_number 221
_space_group_name_Hall '-P 4 2 3'
loop_
_atom_site_label
_atom_site_type_symbol
_atom_site_fract_x
_atom_site_fract_y
_atom_site_fract_z
Ca1 Ca 0.0000 0.0000 0.5000
Y1 Y 0.5000 0.5000 0.5000
W1 W 0.0000 0.0000 0.0000

---

5.
# Dy3Ni6Sn5 PBE relaxed
# Spin magnetization, Bohr magnetons per cell: 0.00
# Formation energy, meV per atom: -517
data_Dy3Ni6Sn5
_chemical_formula_sum 'Dy6 Ni12 Sn10'
_cell_length_a 4.3739
_cell_length_b 9.6177
_cell_length_c 12.3451
_cell_angle_alpha 90.00
_cell_angle_beta 90.00
_cell_angle_gamma 90.00
_space_group_name_H-M_alt 'I m m m'
_space_group_IT_number 71
_space_group_name_Hall '-I 2 2'
loop_
_atom_site_label
_atom_site_type_symbol
_atom_site_fract_x
_atom_site_fract_y
_atom_site_fract_z
Dy1 Dy 0.0000 0.0000 0.0000
Dy2 Dy 0.0000 0.0000 0.3122
Ni1 Ni 0.0000 0.1801 0.5000
Ni2 Ni 0.0000 0.2766 0.1155
Sn1 Sn 0.0000 0.3428 0.3306
Sn2 Sn 0.0000 0.5000 0.0000

---

6.
# Na2LiSbS4 PBE relaxed
# Energy relative to the elements, uncorrected, meV per atom: -759
# Spin magnetization, Bohr magnetons per cell: 0.00
data_Na2LiSbS4
_chemical_formula_sum 'Na4 Li2 Sb2 S8'
_cell_length_a 7.3715
_cell_length_b 7.3715
_cell_length_c 6.5739
_cell_angle_alpha 90.00
_cell_angle_beta 90.00
_cell_angle_gamma 90.00
_space_group_name_H-M_alt 'I -4 2 m'
_space_group_IT_number 121
_space_group_name_Hall 'I -4 2'
loop_
_atom_site_label
_atom_site_type_symbol
_atom_site_fract_x
_atom_site_fract_y
_atom_site_fract_z
Na1 Na 0.0000 0.5000 0.0000
Li1 Li 0.0000 0.0000 0.0000
Sb1 Sb 0.0000 0.0000 0.5000
S1 S 0.1784 0.1784 0.2775

---

7.
# NaPuHgSb PBE relaxed
# Energy relative to the elements, uncorrected, meV per atom: -380
# Spin magnetization, Bohr magnetons per cell: 23.95
data_NaPuHgSb
_chemical_formula_sum 'Na4 Pu4 Hg4 Sb4'
_cell_length_a 7.5386
_cell_length_b 7.5386
_cell_length_c 7.5386
_cell_angle_alpha 90.00
_cell_angle_beta 90.00
_cell_angle_gamma 90.00
_space_group_name_H-M_alt 'F -4 3 m'
_space_group_IT_number 216
_space_group_name_Hall 'F -4 2 3'
loop_
_atom_site_label
_atom_site_type_symbol
_atom_site_fract_x
_atom_site_fract_y
_atom_site_fract_z
Na1 Na 0.0000 0.0000 0.0000
Pu1 Pu 0.0000 0.0000 0.5000
Hg1 Hg 0.2500 0.2500 0.7500
Sb1 Sb 0.2500 0.2500 0.2500

---

8.
# Tb2Pm7Pr2 PBE relaxed
# Spin magnetization, Bohr magnetons per cell: 0.00
# Distance to the lowest polymorph of the same formula, meV per atom: 33
# Formation energy, meV per atom: 171
data_Tb2Pm7Pr2
_chemical_formula_sum 'Tb4 Pm14 Pr4'
_cell_length_a 9.8176
_cell_length_b 9.4762
_cell_length_c 8.5283
_cell_angle_alpha 90.00
_cell_angle_beta 103.52
_cell_angle_gamma 90.00
_space_group_name_H-M_alt 'C 1 2/m 1'
_space_group_IT_number 12
_space_group_name_Hall '-C 2y'
loop_
_atom_site_label
_atom_site_type_symbol
_atom_site_fract_x
_atom_site_fract_y
_atom_site_fract_z
Tb1 Tb 0.0000 0.1894 0.0000
Pm1 Pm 0.0000 0.0000 0.5000
Pm2 Pm 0.1971 0.5000 0.0158
Pm3 Pm 0.1990 0.2963 0.6837
Pr1 Pr 0.0993 0.5000 0.3446

---

9.
# Tb2Er15Tm2 PBE relaxed
# Spin magnetization, Bohr magnetons per cell: 0.00
# Formation energy, meV per atom: 289
data_Tb2Er15Tm2
_chemical_formula_sum 'Tb6 Er45 Tm6'
_cell_length_a 11.0317
_cell_length_b 11.0317
_cell_length_c 17.4124
_cell_angle_alpha 90.00
_cell_angle_beta 90.00
_cell_angle_gamma 120.00
_space_group_name_H-M_alt 'R -3 m'
_space_group_IT_number 166
_space_group_name_Hall '-R 3 2"'
loop_
_atom_site_label
_atom_site_type_symbol
_atom_site_fract_x
_atom_site_fract_y
_atom_site_fract_z
Tb1 Tb 0.0000 0.0000 0.1770
Er1 Er 0.0000 0.2989 0.5000
Er2 Er 0.0000 0.5000 0.0000
Er3 Er 0.0110 0.5055 0.6367
Tm1 Tm 0.0000 0.0000 0.4029

---

10.
# YPuGeSe PBE relaxed
# Energy relative to the elements, uncorrected, meV per atom: -1146
# Spin magnetization, Bohr magnetons per cell: 14.99
data_YPuGeSe
_chemical_formula_sum 'Y3 Pu3 Ge3 Se3'
_cell_length_a 4.1513
_cell_length_b 4.1513
_cell_length_c 20.3108
_cell_angle_alpha 90.00
_cell_angle_beta 90.00
_cell_angle_gamma 120.00
_space_group_name_H-M_alt 'R 3 m'
_space_group_IT_number 160
_space_group_name_Hall 'R 3 -2"'
loop_
_atom_site_label
_atom_site_type_symbol
_atom_site_fract_x
_atom_site_fract_y
_atom_site_fract_z
Y1 Y 0.0000 0.0000 0.0000
Pu1 Pu 0.0000 0.0000 0.5038
Ge1 Ge 0.0000 0.0000 0.2513
Se1 Se 0.0000 0.0000 0.7522

---

11.
# BiSN PBE relaxed
# Energy relative to the elements, uncorrected, meV per atom: 454
# Spin magnetization, Bohr magnetons per cell: 0.00
# Distance to the lowest polymorph of the same formula, meV per atom: 563
data_BiSN
_chemical_formula_sum 'Bi1 S1 N1'
_cell_length_a 4.1830
_cell_length_b 3.6269
_cell_length_c 4.4954
_cell_angle_alpha 90.00
_cell_angle_beta 106.29
_cell_angle_gamma 90.00
_space_group_name_H-M_alt 'P 1 m 1'
_space_group_IT_number 6
_space_group_name_Hall 'P -2y'
loop_
_atom_site_label
_atom_site_type_symbol
_atom_site_fract_x
_atom_site_fract_y
_atom_site_fract_z
Bi1 Bi 0.0000 0.0000 0.0000
S1 S 0.6599 0.5000 0.3102
N1 N 0.7575 0.5000 0.6947

---

12.
# BaLaBe2Si PBE relaxed
# Energy relative to the elements, uncorrected, meV per atom: 1268
# Spin magnetization, Bohr magnetons per cell: 0.00
data_BaLaBe2Si
_chemical_formula_sum 'Ba1 La1 Be2 Si1'
_cell_length_a 5.0564
_cell_length_b 5.0564
_cell_length_c 5.5471
_cell_angle_alpha 90.00
_cell_angle_beta 90.00
_cell_angle_gamma 90.00
_space_group_name_H-M_alt 'P 4/m m m'
_space_group_IT_number 123
_space_group_name_Hall '-P 4 2'
loop_
_atom_site_label
_atom_site_type_symbol
_atom_site_fract_x
_atom_site_fract_y
_atom_site_fract_z
Ba1 Ba 0.0000 0.0000 0.0000
La1 La 0.5000 0.5000 0.5000
Be1 Be 0.0000 0.5000 0.0000
Si1 Si 0.0000 0.0000 0.5000

---

13.
# Li2TlCo2 PBE relaxed
# Spin magnetization, Bohr magnetons per cell: 5.55
# Formation energy, meV per atom: 289
data_Li2TlCo2
_chemical_formula_sum 'Li4 Tl2 Co4'
_cell_length_a 6.7419
_cell_length_b 6.7419
_cell_length_c 3.3360
_cell_angle_alpha 90.00
_cell_angle_beta 90.00
_cell_angle_gamma 90.00
_space_group_name_H-M_alt 'P 4/m b m'
_space_group_IT_number 127
_space_group_name_Hall '-P 4 2ab'
loop_
_atom_site_label
_atom_site_type_symbol
_atom_site_fract_x
_atom_site_fract_y
_atom_site_fract_z
Li1 Li 0.1736 0.3264 0.0000
Tl1 Tl 0.0000 0.0000 0.5000
Co1 Co 0.1140 0.6140 0.5000